1.
SmAsW | PBE | relaxed

```
data_SmAsW
_chemical_formula_sum 'Sm4 As4 W4'
_cell_length_a 6.450
_cell_length_b 6.450
_cell_length_c 6.450
_cell_angle_alpha 90.00
_cell_angle_beta 90.00
_cell_angle_gamma 90.00
_space_group_name_H-M_alt 'F -4 3 m'
_space_group_IT_number 216
_space_group_name_Hall 'F -4 2 3'
loop_
_atom_site_label
_atom_site_type_symbol
_atom_site_fract_x
_atom_site_fract_y
_atom_site_fract_z
Sm1 Sm 0.000 0.000 0.000
As1 As 0.250 0.250 0.250
W1 W 0.000 0.000 0.500
```

Summary:
- DFT total energy: -7.158 eV/atom
- Energy above the lowest structure with this stoichiometry: 0 meV/atom
- Calculated volume: 268.4 Å³ per cell

***

2.
Ag2HgBr2Cl2 | PBE | relaxed

```
data_Ag2HgBr2Cl2
_chemical_formula_sum 'Ag4 Hg2 Br4 Cl4'
_cell_length_a 8.457
_cell_length_b 12.068
_cell_length_c 6.027
_cell_angle_alpha 90.00
_cell_angle_beta 133.64
_cell_angle_gamma 90.00
_space_group_name_H-M_alt 'C 1 2 1'
_space_group_IT_number 5
_space_group_name_Hall 'C 2y'
loop_
_atom_site_label
_atom_site_type_symbol
_atom_site_fract_x
_atom_site_fract_y
_atom_site_fract_z
Ag1 Ag 0.000 0.000 0.000
Ag2 Ag 0.000 0.242 0.500
Hg1 Hg 0.000 0.745 0.500
Br1 Br 0.235 0.374 0.004
Cl1 Cl 0.243 0.618 0.496
```

Summary:
- DFT total energy: -2.303 eV/atom
- Calculated volume: 445.2 Å³ per cell